(1)
First-principles (PBE) data for NaN2Cl2 after structural relaxation, as listed in Alexandria.

Computed properties:
**Calculated total energy**: -4.833 eV/atom
**Formation energy without anion corrections**: -0.50 eV per atom

a = 4.6311 Å, b = 4.6311 Å, c = 9.1706 Å
α = 95.72°, β = 95.72°, γ = 49.11°
With the nearest neighbours (Å) after each atom.
Fractional positions:
1 Na 0.0000 0.0000 0.0000  6 Cl 2.80-2.82
2 N 0.0327 0.0327 0.4504  1 N 1.11
3 N 0.9673 0.9673 0.5496  1 N 1.11
4 Cl 0.3189 0.3189 0.1296  3 Na 2.80-2.82
5 Cl 0.6811 0.6811 0.8704  3 Na 2.80-2.82

***

(2)
First-principles (PBE) data for Pm8CoOs3Br4 after structural relaxation, as listed in Alexandria.

Computed properties:
**Calculated total energy**: -5.999 eV/atom
**Formation energy without anion corrections**: -0.66 eV per atom

a = 8.1384 Å, b = 8.1384 Å, c = 9.1057 Å
α = 116.64°, β = 116.64°, γ = 59.94°
With the nearest neighbours (Å) after each atom.
Fractional positions:
1 Pm 0.2307 0.2307 0.6957  1 Co 2.79, 2 Os 2.81
2 Pm 0.2308 0.7341 0.6957  1 Co 2.79, 2 Os 2.81
3 Pm 0.2659 0.7692 0.3043  1 Co 2.79, 2 Os 2.81
4 Pm 0.2670 0.2670 0.3010  3 Os 2.81
5 Pm 0.7330 0.7330 0.6990  3 Os 2.81
6 Pm 0.7341 0.2308 0.6957  1 Co 2.79, 2 Os 2.81
7 Pm 0.7692 0.2659 0.3043  1 Co 2.79, 2 Os 2.81
8 Pm 0.7693 0.7693 0.3043  1 Co 2.79, 2 Os 2.81
9 Co 0.0000 0.0000 0.5000  6 Pm 2.79
10 Os 0.0000 0.5000 0.5000  6 Pm 2.81
11 Os 0.5000 0.0000 0.5000  6 Pm 2.81
12 Os 0.5000 0.5000 0.5000  6 Pm 2.81
13 Br 0.0000 0.0000 0.0000  6 Pm 3.32-3.33
14 Br 0.0000 0.5000 0.0000  6 Pm 3.32-3.33
15 Br 0.5000 0.0000 0.0000  6 Pm 3.32-3.33
16 Br 0.5000 0.5000 0.0000  6 Pm 3.35

***

(3)
First-principles (PBE) data for AcBi4Pd4 after structural relaxation, as listed in Alexandria.

Computed properties:
**Calculated total energy**: -4.963 eV/atom
**ΔH_f (0 K)**: -4.26 eV per formula unit

a = 7.4847 Å, b = 7.4847 Å, c = 7.4847 Å
α = 95.71°, β = 95.71°, γ = 143.23°
With the nearest neighbours (Å) after each atom.
Fractional positions:
1 Ac 0.0000 0.0000 0.0000  8 Pd 3.17
2 Bi 0.1536 0.6592 0.8128  4 Pd 2.76-2.88
3 Bi 0.3408 0.1536 0.4944  4 Pd 2.76-2.88
4 Bi 0.6592 0.8464 0.5056  4 Pd 2.76-2.88
5 Bi 0.8464 0.3408 0.1872  4 Pd 2.76-2.88
6 Pd 0.3025 0.4281 0.7307  4 Bi 2.76-2.88, 2 Pd 2.98
7 Pd 0.4281 0.6975 0.1256  4 Bi 2.76-2.88, 2 Pd 2.98
8 Pd 0.5719 0.3025 0.8744  4 Bi 2.76-2.88, 2 Pd 2.98
9 Pd 0.6975 0.5719 0.2693  4 Bi 2.76-2.88, 2 Pd 2.98

***

(4)
First-principles (PBE) data for CuP2Ir after structural relaxation, as listed in Alexandria.

Computed properties:
**Calculated total energy**: -5.914 eV/atom
**ΔH_f (0 K)**: 0.12 eV per formula unit

a = 3.8338 Å, b = 3.8338 Å, c = 5.6166 Å
α = 101.89°, β = 101.89°, γ = 44.67°
With the nearest neighbours (Å) after each atom.
Fractional positions:
1 Cu 0.0000 0.0000 0.0000  6 P 2.50-2.51
2 P 0.2481 0.2481 0.7423  3 Ir 2.45-2.48, 3 Cu 2.50-2.51
3 P 0.7519 0.7519 0.2577  3 Ir 2.45-2.48, 3 Cu 2.50-2.51
4 Ir 0.5000 0.5000 0.5000  6 P 2.45-2.48

***

(5)
First-principles (PBE) data for Th2CuPd after structural relaxation, as listed in Alexandria.

Computed properties:
**Calculated total energy**: -6.380 eV/atom
**ΔH_f (0 K)**: -1.39 eV per formula unit

a = 3.6593 Å, b = 3.6593 Å, c = 7.0020 Å
α = 90.00°, β = 90.00°, γ = 90.00°
With the nearest neighbours (Å) after each atom.
Fractional positions:
1 Th 0.0000 0.0000 0.2470  4 Cu 3.11, 4 Pd 3.14, 1 Th 3.46
2 Th 0.0000 0.0000 0.7530  4 Cu 3.11, 4 Pd 3.14, 1 Th 3.46
3 Cu 0.5000 0.5000 0.0000  8 Th 3.11
4 Pd 0.5000 0.5000 0.5000  8 Th 3.14, 2 Cu 3.50

***

(6)
First-principles (PBE) data for Na2CrW2 after structural relaxation, as listed in Alexandria.

Computed properties:
**Calculated total energy**: -6.372 eV/atom
**ΔH_f (0 K)**: 6.31 eV per formula unit

a = 8.2130 Å, b = 8.2130 Å, c = 8.2130 Å
α = 155.77°, β = 155.77°, γ = 34.53°
With the nearest neighbours (Å) after each atom.
Fractional positions:
1 Na 0.2500 0.7500 0.5000  4 Na 2.44
2 Na 0.7500 0.2500 0.5000  4 Na 2.44
3 Cr 0.0000 0.0000 0.0000  8 W 2.69
4 W 0.4268 0.4268 0.0000  1 W 2.30
5 W 0.5732 0.5732 0.0000  1 W 2.30

***

(7)
First-principles (PBE) data for UIrRh6 after structural relaxation, as listed in Alexandria.

Computed properties:
**Calculated total energy**: -8.292 eV/atom
**ΔH_f (0 K)**: -2.08 eV per formula unit

a = 5.5629 Å, b = 5.5629 Å, c = 3.9476 Å
α = 90.00°, β = 90.00°, γ = 90.00°
With the nearest neighbours (Å) after each atom.
Fractional positions:
1 U 0.0000 0.0000 0.0000  12 Rh 2.78-2.80
2 Ir 0.5000 0.5000 0.0000  12 Rh 2.77-2.78
3 Rh 0.0000 0.5000 0.0000  2 Ir 2.78, 2 U 2.78, 8 Rh 2.79
4 Rh 0.2532 0.2532 0.5000  8 Rh 2.75-2.82, 2 Ir 2.77, 2 U 2.80
5 Rh 0.2532 0.7468 0.5000  8 Rh 2.75-2.82, 2 Ir 2.77, 2 U 2.80
6 Rh 0.5000 0.0000 0.0000  2 Ir 2.78, 2 U 2.78, 8 Rh 2.79
7 Rh 0.7468 0.2532 0.5000  8 Rh 2.75-2.82, 2 Ir 2.77, 2 U 2.80
8 Rh 0.7468 0.7468 0.5000  8 Rh 2.75-2.82, 2 Ir 2.77, 2 U 2.80

***

(8)
First-principles (PBE) data for LiAsIrO2 after structural relaxation, as listed in Alexandria.

Computed properties:
**Calculated total energy**: -5.208 eV/atom
**Formation energy without anion corrections**: -0.14 eV per atom

a = 3.7289 Å, b = 3.7289 Å, c = 6.4846 Å
α = 90.00°, β = 90.00°, γ = 90.00°
With the nearest neighbours (Å) after each atom.
Fractional positions:
1 Li 0.0000 0.0000 0.0000  4 As 2.64
2 As 0.5000 0.5000 0.0000  4 Li 2.64
3 Ir 0.0000 0.0000 0.5000  4 O 1.86
4 O 0.0000 0.5000 0.5000  2 Ir 1.86
5 O 0.5000 0.0000 0.5000  2 Ir 1.86

***

(9)
First-principles (PBE) data for Li2SbPt after structural relaxation, as listed in Alexandria.

Computed properties:
**Calculated total energy**: -4.071 eV/atom
**Formation energy without anion corrections**: -0.57 eV per atom

a = 3.9849 Å, b = 3.9849 Å, c = 4.1275 Å
α = 90.00°, β = 90.00°, γ = 90.00°
With the nearest neighbours (Å) after each atom.
Fractional positions:
1 Li 0.0000 0.5000 0.0000  4 Li 2.82, 4 Sb 2.87, 4 Pt 2.87
2 Li 0.5000 0.0000 0.0000  4 Li 2.82, 4 Sb 2.87, 4 Pt 2.87
3 Sb 0.0000 0.0000 0.5000  4 Pt 2.82, 8 Li 2.87
4 Pt 0.5000 0.5000 0.5000  4 Sb 2.82, 8 Li 2.87

***

(10)
First-principles (PBE) data for MnNb2RhBr after structural relaxation, as listed in Alexandria.

Computed properties:
**Calculated total energy**: -6.752 eV/atom
**Formation energy without anion corrections**: 0.92 eV per atom

a = 4.6988 Å, b = 4.6988 Å, c = 4.4725 Å
α = 90.00°, β = 90.00°, γ = 90.00°
With the nearest neighbours (Å) after each atom.
Fractional positions:
1 Mn 0.0000 0.0000 0.0000  2 Rh 2.24, 4 Nb 2.35
2 Nb 0.0000 0.5000 0.0000  2 Mn 2.35
3 Nb 0.5000 0.0000 0.0000  2 Mn 2.35
4 Rh 0.0000 0.0000 0.5000  2 Mn 2.24
5 Br 0.5000 0.5000 0.5000  8 Nb 3.24, 4 Rh 3.32

***

(11)
First-principles (PBE) data for LiTa4Ru after structural relaxation, as listed in Alexandria.

Computed properties:
**Calculated total energy**: -9.208 eV/atom
**ΔH_f (0 K)**: 3.35 eV per formula unit

a = 5.3788 Å, b = 5.3788 Å, c = 5.3788 Å
α = 60.00°, β = 60.00°, γ = 60.00°
With the nearest neighbours (Å) after each atom.
Fractional positions:
1 Li 0.0000 0.0000 0.0000  12 Ta 3.16, 4 Ru 3.29
2 Ta 0.3757 0.3757 0.3757  6 Ta 2.67-2.70
3 Ta 0.3757 0.3757 0.8730  6 Ta 2.67-2.70
4 Ta 0.3757 0.8730 0.3757  6 Ta 2.67-2.70
5 Ta 0.8730 0.3757 0.3757  6 Ta 2.67-2.70
6 Ru 0.7500 0.7500 0.7500  12 Ta 3.15, 4 Li 3.29

***

(12)
First-principles (PBE) data for Cs2Ce4Se3N2 after structural relaxation, as listed in Alexandria.

Computed properties:
**Calculated total energy**: -6.059 eV/atom
**Formation energy without anion corrections**: -1.28 eV per atom

a = 14.1958 Å, b = 14.1958 Å, c = 14.1958 Å
α = 160.74°, β = 160.74°, γ = 27.37°
With the nearest neighbours (Å) after each atom.
Fractional positions:
1 Cs 0.1973 0.1973 0.0000  1 N 3.19
2 Cs 0.8027 0.8027 0.0000  1 N 3.19
3 Ce 0.0730 0.5730 0.5000  2 N 2.39
4 Ce 0.4270 0.9270 0.5000  2 N 2.39
5 Ce 0.5730 0.0730 0.5000  2 N 2.39
6 Ce 0.9270 0.4270 0.5000  2 N 2.39
7 Se 0.3516 0.3516 0.0000  4 Ce 3.16
8 Se 0.5000 0.5000 0.0000  8 Ce 3.11
9 Se 0.6484 0.6484 0.0000  4 Ce 3.16
10 N 0.0818 0.0818 0.0000  4 Ce 2.39
11 N 0.9182 0.9182 0.0000  4 Ce 2.39

***

(13)
First-principles (PBE) data for MgBr after structural relaxation, as listed in Alexandria.

Computed properties:
**Calculated total energy**: -2.155 eV/atom
**Formation energy without anion corrections**: -0.52 eV per atom

a = 4.7499 Å, b = 4.7499 Å, c = 4.7499 Å
α = 47.51°, β = 47.51°, γ = 47.51°
With the nearest neighbours (Å) after each atom.
Fractional positions:
1 Mg 0.0000 0.0000 0.0000  6 Br 3.05
2 Br 0.5000 0.5000 0.5000  6 Mg 3.05

***

(14)
First-principles (PBE) data for Ba2PmPd9 after structural relaxation, as listed in Alexandria.

Computed properties:
**Calculated total energy**: -5.123 eV/atom
**ΔH_f (0 K)**: -6.14 eV per formula unit

a = 9.8757 Å, b = 9.8757 Å, c = 9.8757 Å
α = 32.33°, β = 32.33°, γ = 32.33°
With the nearest neighbours (Å) after each atom.
Fractional positions:
1 Ba 0.1400 0.1400 0.1400  12 Pd 3.22-3.55, 3 Ba 3.51
2 Ba 0.8600 0.8600 0.8600  12 Pd 3.22-3.55, 3 Ba 3.51
3 Pm 0.0000 0.0000 0.0000  18 Pd 3.17-3.55
4 Pd 0.0807 0.5799 0.5799  7 Pd 2.74-2.90
5 Pd 0.3326 0.3326 0.3326  6 Pd 2.74-2.77
6 Pd 0.4201 0.4201 0.9193  7 Pd 2.74-2.90
7 Pd 0.4201 0.9193 0.4201  7 Pd 2.74-2.90
8 Pd 0.5000 0.5000 0.5000  6 Pd 2.90
9 Pd 0.5799 0.0807 0.5799  7 Pd 2.74-2.90
10 Pd 0.5799 0.5799 0.0807  7 Pd 2.74-2.90
11 Pd 0.6674 0.6674 0.6674  6 Pd 2.74-2.77
12 Pd 0.9193 0.4201 0.4201  7 Pd 2.74-2.90

***

(15)
First-principles (PBE) data for SnBi3Br2O6 after structural relaxation, as listed in Alexandria.

Computed properties:
**Calculated total energy**: -4.901 eV/atom
**Formation energy without anion corrections**: -0.84 eV per atom

a = 6.8545 Å, b = 6.8545 Å, c = 5.9756 Å
α = 100.85°, β = 100.85°, γ = 59.44°
With the nearest neighbours (Å) after each atom.
Fractional positions:
1 Sn 0.0000 0.0000 0.0000  6 O 2.05-2.26
2 Bi 0.0000 0.5000 0.0000  4 O 2.29-2.31
3 Bi 0.5000 0.0000 0.0000  4 O 2.29-2.31
4 Bi 0.5000 0.5000 0.5000  4 O 2.48
5 Br 0.2785 0.2785 0.6264  1 O 2.76, 3 Bi 2.88-2.90
6 Br 0.7215 0.7215 0.3736  1 O 2.76, 3 Bi 2.88-2.90
7 O 0.1694 0.1694 0.1695  1 Sn 2.05, 2 Bi 2.29
8 O 0.1837 0.6939 0.2013  1 Sn 2.26, 2 Bi 2.31-2.48
9 O 0.3061 0.8163 0.7987  1 Sn 2.26, 2 Bi 2.31-2.48
10 O 0.6939 0.1837 0.2013  1 Sn 2.26, 2 Bi 2.31-2.48
11 O 0.8163 0.3061 0.7987  1 Sn 2.26, 2 Bi 2.31-2.48
12 O 0.8306 0.8306 0.8305  1 Sn 2.05, 2 Bi 2.29

***

(16)
First-principles (PBE) data for SrCd2Pt after structural relaxation, as listed in Alexandria.

Computed properties:
**Calculated total energy**: -2.793 eV/atom
**ΔH_f (0 K)**: -1.62 eV per formula unit

a = 4.3790 Å, b = 4.0603 Å, c = 6.2460 Å
α = 90.00°, β = 110.43°, γ = 90.00°
With the nearest neighbours (Å) after each atom.
Fractional positions:
1 Sr 0.0000 0.0000 0.0000  4 Pt 3.06, 3 Cd 3.28-3.38
2 Cd 0.3113 0.5000 0.6258  1 Pt 2.84, 2 Cd 3.17
3 Cd 0.7204 0.0000 0.4400  2 Pt 2.80
4 Pt 0.5550 0.5000 0.1109  3 Cd 2.80-2.84, 4 Sr 3.06

***

(17)
First-principles (PBE) data for CdNi3N after structural relaxation, as listed in Alexandria.

Computed properties:
**Calculated total energy**: -5.228 eV/atom
**Formation energy without anion corrections**: 0.09 eV per atom

a = 4.9281 Å, b = 5.2943 Å, c = 5.4871 Å
α = 108.74°, β = 90.69°, γ = 114.34°
With the nearest neighbours (Å) after each atom.
Fractional positions:
1 Cd 0.0000 0.0000 0.0000  1 N 2.63, 8 Ni 2.65-2.82
2 Cd 0.0307 0.5474 0.4024  1 N 2.54, 7 Ni 2.64-2.82
3 Ni 0.0013 0.4674 0.8862  2 N 1.85-1.91
4 Ni 0.4434 0.9966 0.2748  2 N 1.85-1.88
5 Ni 0.4836 0.4432 0.6640  2 N 1.85-1.89
6 Ni 0.4918 0.9783 0.8036  2 N 1.82-1.89
7 Ni 0.5159 0.5116 0.1609  1 N 1.85
8 Ni 0.9198 0.0138 0.4958  1 N 1.84
9 N 0.4146 0.6939 0.9635  5 Ni 1.85-1.89
10 N 0.6736 0.1968 0.6052  5 Ni 1.82-1.91

***

(18)
First-principles (PBE) data for SrTm2In after structural relaxation, as listed in Alexandria.

Computed properties:
**Calculated total energy**: -3.443 eV/atom
**ΔH_f (0 K)**: -0.41 eV per formula unit

a = 3.6664 Å, b = 3.6664 Å, c = 9.7629 Å
α = 90.00°, β = 90.00°, γ = 90.00°
With the nearest neighbours (Å) after each atom.
Fractional positions:
1 Sr 0.0000 0.0000 0.0000  4 Sr 3.67, 8 Tm 3.94
2 Tm 0.5000 0.5000 0.3040  4 In 3.22
3 Tm 0.5000 0.5000 0.6960  4 In 3.22
4 In 0.0000 0.0000 0.5000  8 Tm 3.22

***

(19)
First-principles (PBE) data for Sc4CoAg3 after structural relaxation, as listed in Alexandria.

Computed properties:
**Calculated total energy**: -5.407 eV/atom
**ΔH_f (0 K)**: -2.27 eV per formula unit

a = 3.3035 Å, b = 3.3035 Å, c = 13.9215 Å
α = 90.00°, β = 90.00°, γ = 90.00°
With the nearest neighbours (Å) after each atom.
Fractional positions:
1 Sc 0.0000 0.0000 0.1076  4 Co 2.78, 4 Ag 2.98, 1 Sc 3.00
2 Sc 0.0000 0.0000 0.3701  8 Ag 2.95, 4 Sc 3.30
3 Sc 0.0000 0.0000 0.6299  8 Ag 2.95, 4 Sc 3.30
4 Sc 0.0000 0.0000 0.8924  4 Co 2.78, 4 Ag 2.98, 1 Sc 3.00
5 Co 0.5000 0.5000 0.0000  8 Sc 2.78
6 Ag 0.5000 0.5000 0.2405  8 Sc 2.95-2.98, 4 Ag 3.30
7 Ag 0.5000 0.5000 0.5000  8 Sc 2.95, 4 Ag 3.30
8 Ag 0.5000 0.5000 0.7595  8 Sc 2.95-2.98, 4 Ag 3.30

***

(20)
First-principles (PBE) data for Na5Bi4Pb after structural relaxation, as listed in Alexandria.

Computed properties:
**Calculated total energy**: -2.853 eV/atom
**ΔH_f (0 K)**: -2.70 eV per formula unit

a = 3.4406 Å, b = 3.4406 Å, c = 24.5073 Å
α = 90.00°, β = 90.00°, γ = 90.00°
With the nearest neighbours (Å) after each atom.
Fractional positions:
1 Na 0.0000 0.0000 0.0000  4 Na 3.44, 8 Bi 3.46
2 Na 0.0000 0.0000 0.1993  8 Bi 3.44-3.45, 4 Na 3.44
3 Na 0.0000 0.0000 0.3970  4 Bi 3.41, 4 Na 3.44, 4 Pb 3.51
4 Na 0.0000 0.0000 0.6030  4 Bi 3.41, 4 Na 3.44, 4 Pb 3.51
5 Na 0.0000 0.0000 0.8007  8 Bi 3.44-3.45, 4 Na 3.44
6 Bi 0.5000 0.5000 0.1002  8 Na 3.44-3.46, 4 Bi 3.44
7 Bi 0.5000 0.5000 0.2993  8 Na 3.41-3.45, 4 Bi 3.44
8 Bi 0.5000 0.5000 0.7007  8 Na 3.41-3.45, 4 Bi 3.44
9 Bi 0.5000 0.5000 0.8998  8 Na 3.44-3.46, 4 Bi 3.44
10 Pb 0.5000 0.5000 0.5000  4 Pb 3.44, 8 Na 3.51